No. 1
! Ce2TmLu, relaxed, DFT GGA-PBE; values from VASP
&SYSTEM
  ibrav = 0, nat = 4, ntyp = 3
/
ATOMIC_SPECIES
Ce 140.12 Ce.upf
Tm 168.93 Tm.upf
Lu 174.97 Lu.upf
ATOMIC_POSITIONS crystal
Ce 0.2500 0.2500 0.2500
Ce 0.7500 0.7500 0.7500
Tm 0.0000 0.0000 0.0000
Lu 0.5000 0.5000 0.5000
CELL_PARAMETERS angstrom
0.0000 3.9373 3.9373
3.9373 0.0000 3.9373
3.9373 3.9373 0.0000
! relative energy among the computed polymorphs = 109 meV/atom
! space-group type = No. 225



No. 2
! CeTm2Lu, relaxed, DFT GGA-PBE; values from VASP
&SYSTEM
  ibrav = 0, nat = 4, ntyp = 3
/
ATOMIC_SPECIES
Ce 140.12 Ce.upf
Tm 168.93 Tm.upf
Lu 174.97 Lu.upf
ATOMIC_POSITIONS crystal
Ce 0.0000 0.0000 0.0000
Tm 0.5000 0.5000 0.2480
Tm 0.5000 0.5000 0.7520
Lu 0.0000 0.0000 0.5000
CELL_PARAMETERS angstrom
3.4739 0.0000 0.0000
0.0000 3.4739 0.0000
0.0000 0.0000 9.8698
! relative energy among the computed polymorphs = 0 meV/atom
! space-group type = No. 123



No. 3
! CeYTmLu, relaxed, DFT GGA-PBE; values from VASP
&SYSTEM
  ibrav = 0, nat = 4, ntyp = 4
/
ATOMIC_SPECIES
Ce 140.12 Ce.upf
Y 88.91 Y.upf
Tm 168.93 Tm.upf
Lu 174.97 Lu.upf
ATOMIC_POSITIONS crystal
Ce 0.0000 0.0000 0.0000
Y 0.5000 0.5000 0.5000
Tm 0.2500 0.2500 0.2500
Lu 0.7500 0.7500 0.7500
CELL_PARAMETERS angstrom
0.0000 3.9609 3.9609
3.9609 0.0000 3.9609
3.9609 3.9609 0.0000
! space-group type = No. 216



No. 4
! CeTmLuZn, relaxed, DFT GGA-PBE; values from VASP
&SYSTEM
  ibrav = 0, nat = 4, ntyp = 4
/
ATOMIC_SPECIES
Ce 140.12 Ce.upf
Tm 168.93 Tm.upf
Lu 174.97 Lu.upf
Zn 65.41 Zn.upf
ATOMIC_POSITIONS crystal
Ce 0.0000 0.0000 0.0000
Tm 0.5000 0.5000 0.5000
Lu 0.2500 0.2500 0.2500
Zn 0.7500 0.7500 0.7500
CELL_PARAMETERS angstrom
0.0000 3.7249 3.7249
3.7249 0.0000 3.7249
3.7249 3.7249 0.0000
! space-group type = No. 216



No. 5
! CeLuW4, relaxed, DFT GGA-PBE; values from VASP
&SYSTEM
  ibrav = 0, nat = 6, ntyp = 3
/
ATOMIC_SPECIES
Ce 140.12 Ce.upf
Lu 174.97 Lu.upf
W 183.84 W.upf
ATOMIC_POSITIONS crystal
Ce 0.0000 0.0000 0.0000
Lu 0.2500 0.2500 0.2500
W 0.1244 0.6252 0.6252
W 0.6252 0.1244 0.6252
W 0.6252 0.6252 0.1244
W 0.6252 0.6252 0.6252
CELL_PARAMETERS angstrom
0.0000 3.9106 3.9106
3.9106 0.0000 3.9106
3.9106 3.9106 0.0000
! space-group type = No. 216



No. 6
! Ce4YLu, relaxed, DFT GGA-PBE; values from VASP
&SYSTEM
  ibrav = 0, nat = 6, ntyp = 3
/
ATOMIC_SPECIES
Ce 140.12 Ce.upf
Y 88.91 Y.upf
Lu 174.97 Lu.upf
ATOMIC_POSITIONS crystal
Ce 0.1220 0.1220 0.1220
Ce 0.1220 0.1220 0.6339
Ce 0.1220 0.6339 0.1220
Ce 0.6339 0.1220 0.1220
Y 0.5000 0.5000 0.5000
Lu 0.7500 0.7500 0.7500
CELL_PARAMETERS angstrom
0.0000 4.4577 4.4577
4.4577 0.0000 4.4577
4.4577 4.4577 0.0000
! space-group type = No. 216



No. 7
! CeYLuZn, relaxed, DFT GGA-PBE; values from VASP
&SYSTEM
  ibrav = 0, nat = 4, ntyp = 4
/
ATOMIC_SPECIES
Ce 140.12 Ce.upf
Y 88.91 Y.upf
Lu 174.97 Lu.upf
Zn 65.41 Zn.upf
ATOMIC_POSITIONS crystal
Ce 0.0000 0.0000 0.0000
Y 0.5000 0.5000 0.5000
Lu 0.7500 0.7500 0.7500
Zn 0.2500 0.2500 0.2500
CELL_PARAMETERS angstrom
0.0000 3.7529 3.7529
3.7529 0.0000 3.7529
3.7529 3.7529 0.0000
! space-group type = No. 216



No. 8
! CeLu2Zn, relaxed, DFT GGA-PBE; values from VASP
&SYSTEM
  ibrav = 0, nat = 4, ntyp = 3
/
ATOMIC_SPECIES
Ce 140.12 Ce.upf
Lu 174.97 Lu.upf
Zn 65.41 Zn.upf
ATOMIC_POSITIONS crystal
Ce 0.0000 0.0000 0.0000
Lu 0.0000 0.5000 0.5000
Lu 0.5000 0.0000 0.5000
Zn 0.5000 0.5000 0.0000
CELL_PARAMETERS angstrom
4.6993 0.0000 0.0000
0.0000 4.6993 0.0000
0.0000 0.0000 4.6158
! relative energy among the computed polymorphs = 135 meV/atom
! space-group type = No. 123



No. 9
! CeLu2Zn, relaxed, DFT GGA-PBE; values from VASP
&SYSTEM
  ibrav = 0, nat = 4, ntyp = 3
/
ATOMIC_SPECIES
Ce 140.12 Ce.upf
Lu 174.97 Lu.upf
Zn 65.41 Zn.upf
ATOMIC_POSITIONS crystal
Ce 0.0000 0.0000 0.0000
Lu 0.5000 0.5000 0.2928
Lu 0.5000 0.5000 0.7072
Zn 0.0000 0.0000 0.5000
CELL_PARAMETERS angstrom
3.4416 0.0000 0.0000
0.0000 3.4416 0.0000
0.0000 0.0000 8.6613
! relative energy among the computed polymorphs = 0 meV/atom
! space-group type = No. 123



No. 10
! Ce2LuZr, relaxed, DFT GGA-PBE; values from VASP
&SYSTEM
  ibrav = 0, nat = 4, ntyp = 3
/
ATOMIC_SPECIES
Ce 140.12 Ce.upf
Lu 174.97 Lu.upf
Zr 91.22 Zr.upf
ATOMIC_POSITIONS crystal
Ce 0.0000 0.5000 0.0000
Ce 0.5000 0.0000 0.0000
Lu 0.0000 0.0000 0.5000
Zr 0.5000 0.5000 0.5000
CELL_PARAMETERS angstrom
4.6694 0.0000 0.0000
0.0000 4.6694 0.0000
0.0000 0.0000 4.9495
! relative energy among the computed polymorphs = 3 meV/atom
! space-group type = No. 123



No. 11
! CeLu2Zr, relaxed, DFT GGA-PBE; values from VASP
&SYSTEM
  ibrav = 0, nat = 4, ntyp = 3
/
ATOMIC_SPECIES
Ce 140.12 Ce.upf
Lu 174.97 Lu.upf
Zr 91.22 Zr.upf
ATOMIC_POSITIONS crystal
Ce 0.0000 0.0000 0.0000
Lu 0.5000 0.5000 0.2651
Lu 0.5000 0.5000 0.7349
Zr 0.0000 0.0000 0.5000
CELL_PARAMETERS angstrom
3.9806 0.0000 0.0000
0.0000 3.9806 0.0000
0.0000 0.0000 6.9995
! relative energy among the computed polymorphs = 111 meV/atom
! space-group type = No. 123



No. 12
! CeLuZr2, relaxed, DFT GGA-PBE; values from VASP
&SYSTEM
  ibrav = 0, nat = 4, ntyp = 3
/
ATOMIC_SPECIES
Ce 140.12 Ce.upf
Lu 174.97 Lu.upf
Zr 91.22 Zr.upf
ATOMIC_POSITIONS crystal
Ce 0.0000 0.0000 0.0000
Lu 0.5000 0.5000 0.5000
Zr 0.4109 0.4109 0.4109
Zr 0.5891 0.5891 0.5891
CELL_PARAMETERS angstrom
1.6306 0.9414 11.4600
-1.6306 0.9414 11.4600
0.0000 -1.8829 11.4600
! relative energy among the computed polymorphs = 201 meV/atom
! space-group type = No. 166



The records above give, respectively, ΔE_f values of 0.19, 0.06, 0.13, 0.04, 0.17, 0.21, 0.04, 0.01, -0.13, 0.12, 0.19, 0.30 eV per atom.
The records above give, respectively, volume values of 122, 119, 124, 103, 120, 177, 106, 102, 103, 108, 111, 106 Å³/f.u..
The records above give, respectively, total DFT energy (no corrections) values of -20.10, -19.14, -20.85, -16.02, -61.25, -33.48, -18.03, -16.22, -16.76, -24.47, -22.77, -26.34 eV/cell.